## Mg5In2Ga2Hg (PBE)

Data for Mg5In2Ga2Hg after structural relaxation.

Cell: 11.4811 11.4811 3.4361 Å, 90.00 90.00 90.00°
Space group P4/mbm (No. 127)
Asymmetric unit:
Mg 0.0000 0.5000 0.0000
Mg 0.0266 0.2055 0.0000
In 0.1838 0.6838 0.5000
Ga 0.1382 0.3618 0.5000
Hg 0.0000 0.0000 0.5000

## Properties
V: 453 Å³ per cell
crystal system: tetragonal
final energy: -2.06 eV per atom
DFT formation energy: -0.081 eV/atom